First-principles (meta-GGA SCAN) data for a PBEsol-optimized structure of NbCdTe2N, as listed in Alexandria via LeMat-Bulk.

abc: 3.8948 5.5364 5.5364
angles: 90.00 90.00 90.00
With the nearest neighbours (Å) after each atom.
Fractional coordinates of all 5 atoms:
1 N 0.5000 0.0000 0.0000  2 Nb 1.95
2 Nb 0.0000 0.0000 0.0000  2 N 1.95
3 Te 0.0000 0.0000 0.5000  2 Nb 2.77
4 Te 0.0000 0.5000 0.0000  2 Nb 2.77
5 Cd 0.5000 0.5000 0.5000  8 Te 3.38

Magnetic moment   0.000 μB per formula unit
Calculated total energy   -146.95 eV for the cell shown
Space-group type   P4/mmm, No. 123